Record 1
Computed, not measured: a geometry-optimized TbCeHo2Se4 structure at the PBE level of DFT.

abc: 7.1001 4.0656 7.1495
angles: 90.00 108.99 90.00
Last column: nearest neighbours and their distance in Å.
Sites, in units of the cell vectors:
Tb  0.0000  0.0000  0.0000  6 Se 2.92
Ce  0.5000  0.5000  0.0000  6 Se 2.95
Ho  0.0000  0.5000  0.5000  6 Se 2.85
Ho  0.5000  0.0000  0.5000  6 Se 2.88-2.89
Se  0.2425  0.0000  0.7399  3 Ho 2.85-2.89, 1 Tb 2.92, 2 Ce 2.95
Se  0.2485  0.5000  0.2569  3 Ho 2.85-2.88, 2 Tb 2.92, 1 Ce 2.95
Se  0.7515  0.5000  0.7431  3 Ho 2.85-2.88, 2 Tb 2.92, 1 Ce 2.95
Se  0.7575  0.0000  0.2601  3 Ho 2.85-2.89, 1 Tb 2.92, 2 Ce 2.95

Properties
- V (Å³ per cell) = 195.1
- energy relative to the elements, uncorrected (eV per formula unit) = -14.1
- SG = P2/m (10)



Record 2
Computed, not measured: a geometry-optimized Ce2PrO structure at the PBE level of DFT.

abc: 9.6714 9.6714 9.6714
angles: 21.00 21.00 21.00
Last column: nearest neighbours and their distance in Å.
Sites, in units of the cell vectors:
Ce  0.1175  0.1175  0.1175  3 O 2.47
Ce  0.8825  0.8825  0.8825  3 O 2.47
Pr  0.0000  0.0000  0.0000  2 Ce 3.33, 6 Pr 3.53
O  0.5000  0.5000  0.5000  6 Ce 2.47

Properties
- V (Å³ per cell) = 101.8
- energy relative to the elements, uncorrected (eV per formula unit) = -4.5
- SG = R-3m (166)



Record 3
Computed, not measured: a geometry-optimized NdGdLuCd structure at the PBE level of DFT.

abc: 5.4855 5.4855 5.4855
angles: 60.00 60.00 60.00
Last column: nearest neighbours and their distance in Å.
Sites, in units of the cell vectors:
Nd  0.0000  0.0000  0.0000  4 Cd 3.36, 4 Lu 3.36
Gd  0.5000  0.5000  0.5000  4 Cd 3.36, 4 Lu 3.36
Lu  0.2500  0.2500  0.2500  4 Gd 3.36, 4 Nd 3.36
Cd  0.7500  0.7500  0.7500  4 Gd 3.36, 4 Nd 3.36

Properties
- E_form (eV per atom) = -0.06
- V (Å³ per cell) = 116.7
- SG = F-43m (216)



Record 4
Computed, not measured: a geometry-optimized Nd3Tm12Cd structure at the PBE level of DFT.

abc: 4.9419 4.9419 19.8815
angles: 90.00 90.00 90.00
Last column: nearest neighbours and their distance in Å.
Sites, in units of the cell vectors:
Nd  0.0000  0.0000  0.0000  12 Tm 3.49-3.54
Nd  0.0000  0.0000  0.2523  12 Tm 3.50-3.55
Nd  0.0000  0.0000  0.7477  12 Tm 3.50-3.55
Tm  0.0000  0.5000  0.1272  8 Tm 3.49-3.58, 4 Nd 3.51-3.54
Tm  0.0000  0.5000  0.3804  2 Cd 3.43, 8 Tm 3.43-3.49, 2 Nd 3.55
Tm  0.0000  0.5000  0.6196  2 Cd 3.43, 8 Tm 3.43-3.49, 2 Nd 3.55
Tm  0.0000  0.5000  0.8728  8 Tm 3.49-3.58, 4 Nd 3.51-3.54
Tm  0.5000  0.0000  0.1272  8 Tm 3.49-3.58, 4 Nd 3.51-3.54
Tm  0.5000  0.0000  0.3804  2 Cd 3.43, 8 Tm 3.43-3.49, 2 Nd 3.55
Tm  0.5000  0.0000  0.6196  2 Cd 3.43, 8 Tm 3.43-3.49, 2 Nd 3.55
Tm  0.5000  0.0000  0.8728  8 Tm 3.49-3.58, 4 Nd 3.51-3.54
Tm  0.5000  0.5000  0.0000  4 Nd 3.49, 8 Tm 3.54
Tm  0.5000  0.5000  0.2572  8 Tm 3.48-3.58, 4 Nd 3.50
Tm  0.5000  0.5000  0.5000  8 Tm 3.43, 4 Cd 3.49
Tm  0.5000  0.5000  0.7428  8 Tm 3.48-3.58, 4 Nd 3.50
Cd  0.0000  0.0000  0.5000  12 Tm 3.43-3.49

Properties
- E_form (eV per atom) = 0.00
- V (Å³ per cell) = 485.5
- SG = P4/mmm (123)



Record 5
Computed, not measured: a geometry-optimized NpP2Ru2Pt structure at the PBE level of DFT.

abc: 3.9018 8.1175 5.9626
angles: 90.00 90.00 90.00
Last column: nearest neighbours and their distance in Å.
Sites, in units of the cell vectors:
Np  0.0000  0.0628  0.0000  3 P 2.79-2.95, 2 Pt 3.00
Np  0.0000  0.9372  0.5000  3 P 2.79-2.95, 2 Pt 3.00
P  0.0000  0.3900  0.7849  4 Ru 2.28-2.54, 2 Pt 2.51
P  0.0000  0.6100  0.2849  4 Ru 2.28-2.54, 2 Pt 2.51
P  0.5000  0.1937  0.2822  3 Ru 2.33-2.37, 1 Pt 2.36
P  0.5000  0.8063  0.7822  3 Ru 2.33-2.37, 1 Pt 2.36
Ru  0.0000  0.3397  0.3881  4 P 2.28-2.40
Ru  0.0000  0.6603  0.8881  4 P 2.28-2.40
Ru  0.5000  0.4273  0.0543  3 P 2.33-2.54
Ru  0.5000  0.5727  0.5543  3 P 2.33-2.54
Pt  0.5000  0.2125  0.6772  3 P 2.36-2.51
Pt  0.5000  0.7875  0.1772  3 P 2.36-2.51

Properties
- E_form (eV per atom) = -0.52
- V (Å³ per cell) = 188.9
- SG = Pmc2_1 (26)



Record 6
Computed, not measured: a geometry-optimized YInSnHg2 structure at the PBE level of DFT.

abc: 5.4567 5.4567 5.5636
angles: 90.00 90.00 90.00
Last column: nearest neighbours and their distance in Å.
Sites, in units of the cell vectors:
Y  0.0000  0.0000  0.0000  4 In 3.86, 8 Hg 3.90
In  0.5000  0.5000  0.0000  2 Sn 2.78
Sn  0.5000  0.5000  0.5000  4 Hg 2.73, 2 In 2.78
Hg  0.0000  0.5000  0.5000  2 Sn 2.73
Hg  0.5000  0.0000  0.5000  2 Sn 2.73

Properties
- E_form (eV per atom) = 0.37
- V (Å³ per cell) = 165.7
- SG = P4/mmm (123)



Record 7
Computed, not measured: a geometry-optimized CsCoBr2Cl structure at the PBE level of DFT.

abc: 5.3328 5.3328 4.9594
angles: 90.00 90.00 90.00
Last column: nearest neighbours and their distance in Å.
Sites, in units of the cell vectors:
Cs  0.0000  0.0000  0.0000  8 Br 3.64, 4 Cl 3.77
Co  0.5000  0.5000  0.5000  2 Cl 2.48, 4 Br 2.67
Br  0.0000  0.5000  0.5000  2 Co 2.67
Br  0.5000  0.0000  0.5000  2 Co 2.67
Cl  0.5000  0.5000  0.0000  2 Co 2.48

Properties
- V (Å³ per cell) = 141.0
- energy relative to the elements, uncorrected (eV per formula unit) = -4.3
- SG = P4/mmm (123)



Record 8
Computed, not measured: a geometry-optimized Y3Tm structure at the PBE level of DFT.

abc: 6.1514 6.1514 6.1514
angles: 131.83 131.83 70.49
Last column: nearest neighbours and their distance in Å.
Sites, in units of the cell vectors:
Y  0.0000  0.0000  0.0000  4 Tm 3.55, 8 Y 3.55
Y  0.2500  0.7500  0.5000  8 Y 3.55, 4 Tm 3.55
Y  0.7500  0.2500  0.5000  8 Y 3.55, 4 Tm 3.55
Tm  0.5000  0.5000  0.0000  12 Y 3.55

Properties
- E above lowest polymorph (eV/f.u.) = 0.12
- E_form (eV per atom) = 0.03
- V (Å³ per cell) = 126.6
- SG = I4/mmm (139)



Record 9
Computed, not measured: a geometry-optimized La6Ge2SN structure at the PBE level of DFT.

abc: 6.7310 7.9860 12.2285
angles: 90.00 122.79 90.00
Last column: nearest neighbours and their distance in Å.
Sites, in units of the cell vectors:
La  0.1096  0.0374  0.2347  1 N 2.56
La  0.1096  0.4626  0.7347  1 N 2.56
La  0.2006  0.7099  0.0539  1 N 2.58
La  0.2006  0.7901  0.5539  1 N 2.58
La  0.3826  0.1730  0.0564  1 N 2.66, 1 S 2.92
La  0.3826  0.3270  0.5564  1 N 2.66, 1 S 2.92
La  0.6174  0.6730  0.4436  1 N 2.66, 1 S 2.92
La  0.6174  0.8270  0.9436  1 N 2.66, 1 S 2.92
La  0.7994  0.2099  0.4461  1 N 2.58
La  0.7994  0.2901  0.9461  1 N 2.58
La  0.8904  0.5374  0.2653  1 N 2.56
La  0.8904  0.9626  0.7653  1 N 2.56
Ge  0.3100  0.1096  0.7474  6 La 3.09-3.28
Ge  0.3100  0.3904  0.2474  6 La 3.09-3.28
Ge  0.6900  0.6096  0.7526  6 La 3.09-3.28
Ge  0.6900  0.8904  0.2526  6 La 3.09-3.28
S  0.5000  0.0000  0.5000  6 La 2.88-2.96
S  0.5000  0.5000  0.0000  6 La 2.88-2.96
N  0.0000  0.0000  0.0000  6 La 2.56-2.66
N  0.0000  0.5000  0.5000  6 La 2.56-2.66

Properties
- V (Å³ per cell) = 552.6
- energy relative to the elements, uncorrected (eV per formula unit) = -10.7
- SG = P2_1/c (14)



Record 10
Computed, not measured: a geometry-optimized NiAu3Br structure at the PBE level of DFT.

abc: 4.8342 4.8342 4.8342
angles: 90.00 90.00 90.00
Last column: nearest neighbours and their distance in Å.
Sites, in units of the cell vectors:
Ni  0.0000  0.0000  0.0000  6 Au 2.42
Au  0.0000  0.0000  0.5000  2 Ni 2.42
Au  0.0000  0.5000  0.0000  2 Ni 2.42
Au  0.5000  0.0000  0.0000  2 Ni 2.42
Br  0.5000  0.5000  0.5000  12 Au 3.42

Properties
- E above lowest polymorph (eV/f.u.) = 0.00
- V (Å³ per cell) = 113.0
- energy relative to the elements, uncorrected (eV per formula unit) = 3.5
- SG = Pm-3m (221)



Record 11
Computed, not measured: a geometry-optimized Rb2Sr2Ge structure at the PBE level of DFT.

abc: 8.5664 8.5664 7.5895
angles: 90.00 90.00 90.00
Last column: nearest neighbours and their distance in Å.
Sites, in units of the cell vectors:
Rb  0.1828  0.3172  0.0000  2 Sr 4.16, 5 Rb 4.43-4.44
Rb  0.3172  0.8172  0.0000  2 Sr 4.16, 5 Rb 4.43-4.44
Rb  0.6828  0.1828  0.0000  2 Sr 4.16, 5 Rb 4.43-4.44
Rb  0.8172  0.6828  0.0000  2 Sr 4.16, 5 Rb 4.43-4.44
Sr  0.1770  0.6770  0.5000  2 Ge 3.16
Sr  0.3230  0.1770  0.5000  2 Ge 3.16
Sr  0.6770  0.8230  0.5000  2 Ge 3.16
Sr  0.8230  0.3230  0.5000  2 Ge 3.16
Ge  0.0000  0.0000  0.5000  4 Sr 3.16
Ge  0.5000  0.5000  0.5000  4 Sr 3.16

Properties
- E_form (eV per atom) = 0.01
- V (Å³ per cell) = 556.9
- SG = P4/mbm (127)



> Which value of V does entry 9 give?

552.6 Å³ per cell